(1)
# Sc6MnPd5

Sc6MnPd5 after structural relaxation (PBE, Alexandria).

```
12
Lattice="-2.328 3.258 6.981 2.328 -3.258 6.981 2.328 3.258 -6.981" Properties=species:S:1:pos:R:3 pbc="T T T"
Sc 2.328 1.598 -2.252
Sc 0.000 1.571 0.000
Sc 2.328 1.598 2.252
Sc 0.000 1.660 4.728
Sc 0.000 4.946 0.000
Sc 0.000 1.660 9.233
Mn 2.328 0.000 0.000
Pd 0.000 0.000 2.323
Pd 2.328 0.000 4.586
Pd 0.000 0.000 6.981
Pd 0.000 3.258 2.395
Pd 0.000 0.000 11.638
```



(2)
# ScMn3Pd

ScMn3Pd after structural relaxation (PBE, Alexandria).

```
5
Lattice="4.792 0.000 0.000 0.000 4.792 0.000 0.000 0.000 4.792" Properties=species:S:1:pos:R:3 pbc="T T T"
Sc 0.000 0.000 0.000
Mn 0.000 2.396 2.396
Mn 2.396 0.000 2.396
Mn 2.396 2.396 0.000
Pd 2.396 2.396 2.396
```

Computed properties:
Excess energy over the best structure of this formula in the dataset (meV/atom): 0



no.,formation energy (meV/atom),E (eV/atom)
1,-730,-6.824
2,720,-7.086